This record from Alexandria via LeMat-Bulk describes an optimized crystal structure of FeAs3. The functional is PBE.

Cell and atoms, written as POSCAR:
```
FeAs3
1.0
-7.8397 -2.6500 2.3280
-6.7151 -5.2340 1.1898
-6.1232 -4.4567 4.0678
Fe As
1 3
direct
0.0000 0.0000 0.0000
0.2660 0.2660 0.2660
0.7340 0.7340 0.7340
0.5000 0.5000 0.5000
```

Calculated values
Volume ... 67.3 Å³ per cell
Formation enthalpy at 0 K ... 15.8 kJ/mol of atoms
DFT total energy ... -21.75 eV per cell
Offset from the most stable computed form ... 117 meV/atom
Size of the total moment ... 1.6 μB/f.u.

=====

This record from Alexandria via LeMat-Bulk describes an optimized crystal structure of BaCo2HgRh. The functional is PBE.

Cell and atoms, written as POSCAR:
```
BaCo2HgRh
1.0
4.9147 0.0000 0.0000
0.0000 5.1396 0.0000
0.0000 0.0000 4.9147
Ba Co Rh Hg
1 2 1 1
direct
0.0000 0.0000 0.0000
0.0000 0.0000 0.5000
0.5000 0.0000 0.0000
0.0000 0.5000 0.0000
0.5000 0.5000 0.5000
```

Calculated values
Volume ... 124.1 Å³ per cell
Formation enthalpy at 0 K ... 184.6 kJ/mol of atoms
DFT total energy ... -14.22 eV per cell
Size of the total moment ... 2.8 μB/f.u.

=====

This record from Alexandria via LeMat-Bulk describes an optimized crystal structure of UMo2P. The functional is PBE.

Cell and atoms, written as POSCAR:
```
UMo2P
1.0
3.0465 0.0000 0.0000
1.5232 2.6383 0.0000
1.5232 0.8794 8.5630
U P Mo
1 1 2
direct
0.0000 0.0000 0.0000
0.5000 0.5000 0.5000
0.9009 0.9009 0.2973
0.0991 0.0991 0.7027
```

Calculated values
Volume ... 68.8 Å³ per cell
Formation enthalpy at 0 K ... 25.5 kJ/mol of atoms
DFT total energy ... -37.30 eV per cell
Size of the total moment ... 0.0 μB/f.u.

=====

This record from Alexandria via LeMat-Bulk describes an optimized crystal structure of SrScGe2Se. The functional is PBE.

Cell and atoms, written as POSCAR:
```
SrScGe2Se
1.0
-0.4892 2.6274 -4.4191
1.9873 -4.0331 -2.6179
-4.7477 -1.9342 -0.6243
Se Sr Sc Ge
1 1 1 2
direct
0.0000 0.5000 0.0000
0.5000 0.5000 0.5000
0.0000 0.0000 0.0000
0.5000 0.0000 0.0000
0.0000 0.0000 0.5000
```

Calculated values
Formation energy (no corrections) ... -0.468 eV per atom
Volume ... 138.8 Å³ per cell
DFT total energy ... -23.07 eV per cell
Size of the total moment ... 0.0 μB/f.u.

=====

This record from Alexandria via LeMat-Bulk describes an optimized crystal structure of Pm3Pr2NdSe6. The functional is PBE.

Cell and atoms, written as POSCAR:
```
Pm3Pr2NdSe6
1.0
-2.3345 -1.3193 -3.2424
-0.9059 -7.5786 3.7360
-5.9901 5.4903 4.8090
Pm Se Nd Pr
3 6 1 2
direct
0.8328 0.1671 0.6656
0.1672 0.8329 0.3344
0.5000 0.5000 0.0000
0.6653 0.5863 0.3306
0.9985 0.2512 0.9970
0.3330 0.9209 0.6659
0.0015 0.7488 0.0030
0.3347 0.4137 0.6694
0.6670 0.0791 0.3341
0.5000 0.0000 0.0000
0.1668 0.3332 0.3336
0.8332 0.6668 0.6664
```

Calculated values
Formation energy (no corrections) ... -1.839 eV per atom
Volume ... 320.1 Å³ per cell
DFT total energy ... -71.56 eV per cell
Size of the total moment ... 0.0 μB/f.u.